Entry from Alexandria: crystalline ZnSnPb2 at its relaxed geometry (PBE).

Calculated total energy   -0.1124 Ha/atom
ΔH_f (0 K)   0.115 eV/atom

Unit cell a=3.5161 b=3.5161 c=8.7374 alpha=90.00 beta=90.00 gamma=90.00
Last column: nearest neighbours and their distance in Å.
Space group P4/mmm (No. 123)
One atom of each set of equivalent atoms:
Zn 0.0000 0.0000 0.0000  8 Pb 3.14, 4 Zn 3.52
Sn 0.0000 0.0000 0.5000  8 Pb 3.49, 4 Sn 3.52
Pb 0.5000 0.5000 0.2204  4 Zn 3.14, 4 Sn 3.49, 4 Pb 3.52